# 1
Entry from Alexandria: SrCoI after structural relaxation (PBE-GGA).

N(E_F): 3.0 states/eV/f.u.
Raw total energy: -23.92 eV per cell

Cell: 10.6788 10.6788 4.1466 Å, 90.00 90.00 156.52°
Fractional positions:
Sr  0.0860  0.9140  0.7500
Sr  0.9140  0.0860  0.2500
Co  0.4759  0.5241  0.7500
Co  0.5241  0.4759  0.2500
I  0.3369  0.6631  0.7500
I  0.6631  0.3369  0.2500

=====

# 2
Entry from Alexandria: SrCoI after structural relaxation (PBE-GGA).

N(E_F): 2.9 states/eV/f.u.
Raw total energy: -21.17 eV per cell

Cell: 4.6819 6.2751 6.1539 Å, 90.00 90.00 90.00°
Fractional positions:
Sr  0.0000  0.0000  0.0000
Sr  0.5000  0.5000  0.3210
Co  0.0000  0.1759  0.4690
Co  0.0000  0.8241  0.4690
I  0.0000  0.5000  0.7454
I  0.5000  0.0000  0.5974

=====

# 3
Entry from Alexandria: SrCoI after structural relaxation (PBE-GGA).

N(E_F): 0.7 states/eV/f.u.
Raw total energy: -24.00 eV per cell

Cell: 4.1562 4.1562 13.2369 Å, 98.85 98.85 60.01°
Fractional positions:
Sr  0.0578  0.0578  0.1760
Sr  0.9422  0.9422  0.8240
Co  0.3332  0.3332  0.9998
Co  0.6668  0.6668  0.0002
I  0.2220  0.2220  0.6598
I  0.7780  0.7780  0.3402

=====

# 4
Entry from Alexandria: SrCoI after structural relaxation (PBE-GGA).

N(E_F): 2.9 states/eV/f.u.
Raw total energy: -22.12 eV per cell

Cell: 5.8347 5.8347 7.0008 Å, 114.48 114.48 89.99°
Fractional positions:
Sr  0.0000  0.5000  0.0000
Sr  0.5000  0.0000  0.0000
Co  0.0944  0.0944  0.1897
Co  0.9056  0.9056  0.8103
I  0.3229  0.3229  0.6447
I  0.6771  0.6771  0.3553